Record 1
A plane-wave DFT calculation with PBE was carried out for an optimized crystal structure of CaZn2TcN4.

Summary:
- energy relative to the elements, uncorrected (eV per atom) = -0.252
- size of the total moment (μB per atom) = 0.03
- raw total energy (eV/cell) = -100.460

Lattice parameters (Å, degrees): 5.4407 5.6686 7.1317 90.00 90.00 90.00
Closest atoms and distances in Å follow each position.
Fractional positions:
Zn1 0.9980 0.6777 0.7528  4 N 2.05-2.09
Zn2 0.9980 0.6777 0.2472  4 N 2.05-2.09
Zn3 0.4980 0.3223 0.7472  4 N 2.05-2.09
Zn4 0.4980 0.3223 0.2528  4 N 2.05-2.09
N1 0.8699 0.3397 0.2085  1 Tc 1.86, 2 Zn 2.05-2.06
N2 0.4313 0.1346 0.5000  1 Tc 1.89, 2 Zn 2.09
N3 0.8699 0.3397 0.7915  1 Tc 1.86, 2 Zn 2.05-2.06
N4 0.3699 0.6603 0.2915  1 Tc 1.86, 2 Zn 2.05-2.06
N5 0.3448 0.2198 0.0000  1 Tc 1.86, 2 Zn 2.07
N6 0.3699 0.6603 0.7085  1 Tc 1.86, 2 Zn 2.05-2.06
N7 0.8448 0.7802 0.5000  1 Tc 1.86, 2 Zn 2.07
N8 0.9313 0.8654 0.0000  1 Tc 1.89, 2 Zn 2.09
Tc1 0.5035 0.8089 0.5000  4 N 1.86-1.89
Tc2 0.0035 0.1911 0.0000  4 N 1.86-1.89
Ca1 0.4846 0.8185 0.0000  4 N 2.35-2.45
Ca2 0.9846 0.1815 0.5000  4 N 2.35-2.45



Record 2
A plane-wave DFT calculation with PBE was carried out for an optimized crystal structure of Ca2ZnTcN4.

Summary:
- energy relative to the elements, uncorrected (eV per atom) = -0.478
- size of the total moment (μB per atom) = 0.11
- raw total energy (eV/cell) = -105.535

Lattice parameters (Å, degrees): 5.6010 6.2460 7.0440 90.00 90.00 90.00
Closest atoms and distances in Å follow each position.
Fractional positions:
Zn1 0.4952 0.8351 0.0000  4 N 2.04-2.18
Zn2 0.9952 0.1649 0.5000  4 N 2.04-2.18
N1 0.4241 0.6831 0.7274  1 Tc 1.89
N2 0.4241 0.6831 0.2726  1 Tc 1.89
N3 0.8507 0.9075 0.0000  1 Tc 1.85, 1 Zn 2.04
N4 0.3507 0.0925 0.5000  1 Tc 1.85, 1 Zn 2.04
N5 0.9241 0.3169 0.7726  1 Tc 1.89
N6 0.8253 0.8744 0.5000  1 Tc 1.84, 1 Zn 2.05
N7 0.9241 0.3169 0.2274  1 Tc 1.89
N8 0.3253 0.1256 0.0000  1 Tc 1.84, 1 Zn 2.05
Ca1 0.4901 0.3088 0.2529  4 N 2.31-2.44
Ca2 0.4901 0.3088 0.7471  4 N 2.31-2.44
Ca3 0.9901 0.6912 0.2471  4 N 2.31-2.44
Ca4 0.9901 0.6912 0.7529  4 N 2.31-2.44
Tc1 0.5004 0.8288 0.5000  4 N 1.84-1.89
Tc2 0.0004 0.1712 0.0000  4 N 1.84-1.89



Record 3
A plane-wave DFT calculation with PBE was carried out for an optimized crystal structure of CaZr2TcN4.

Summary:
- energy relative to the elements, uncorrected (eV per atom) = -1.043
- size of the total moment (μB per atom) = 0.00
- raw total energy (eV/cell) = -142.212

Lattice parameters (Å, degrees): 3.2711 5.9084 11.3868 90.00 90.00 106.07
Closest atoms and distances in Å follow each position.
Fractional positions:
N1 0.4482 0.8964 0.7500  2 Tc 1.95
N2 0.0000 0.0000 0.0000  4 Zr 2.26
N3 0.5518 0.1036 0.2500  2 Tc 1.95
N4 0.2623 0.5246 0.1152  1 Tc 2.03, 1 Zr 2.13
N5 0.7377 0.4754 0.8848  1 Tc 2.03, 1 Zr 2.13
N6 0.0000 0.0000 0.5000  4 Zr 2.26
N7 0.2623 0.5246 0.3848  1 Tc 2.03, 1 Zr 2.13
N8 0.7377 0.4754 0.6152  1 Tc 2.03, 1 Zr 2.13
Ca1 0.1185 0.2369 0.7500  6 N 2.53-2.62
Ca2 0.8815 0.7631 0.2500  6 N 2.53-2.62
Zr1 0.6322 0.2644 0.0393  5 N 2.13-2.37
Zr2 0.3678 0.7356 0.9607  5 N 2.13-2.37
Zr3 0.6322 0.2644 0.4607  5 N 2.13-2.37
Zr4 0.3678 0.7356 0.5393  5 N 2.13-2.37
Tc1 0.1453 0.2907 0.2500  4 N 1.95-2.03
Tc2 0.8547 0.7093 0.7500  4 N 1.95-2.03



Record 4
A plane-wave DFT calculation with PBE was carried out for an optimized crystal structure of CaZrTcN3.

Summary:
- energy relative to the elements, uncorrected (eV per atom) = -0.793
- size of the total moment (μB per atom) = 0.00
- raw total energy (eV/cell) = -101.304

Lattice parameters (Å, degrees): 3.2820 6.9599 7.8956 97.50 90.00 90.00
Closest atoms and distances in Å follow each position.
Fractional positions:
Ca1 0.2500 0.1536 0.1624  5 N 2.47-2.54
Ca2 0.7500 0.8464 0.8376  5 N 2.47-2.54
Zr1 0.2500 0.6259 0.1477  5 N 2.16-2.38
Zr2 0.7500 0.3741 0.8523  5 N 2.16-2.38
N1 0.7500 0.2323 0.5326  2 Tc 1.89
N2 0.7500 0.4112 0.1280  3 Zr 2.16-2.21
N3 0.7500 0.8744 0.1527  1 Tc 2.00
N4 0.2500 0.5888 0.8720  3 Zr 2.16-2.21
N5 0.2500 0.7677 0.4674  2 Tc 1.89
N6 0.2500 0.1256 0.8473  1 Tc 2.00
Tc1 0.7500 0.8736 0.4054  3 N 1.89-2.00
Tc2 0.2500 0.1264 0.5946  3 N 1.89-2.00



Record 5
A plane-wave DFT calculation with PBE was carried out for an optimized crystal structure of Ca3Zr3TcN8.

Summary:
- energy relative to the elements, uncorrected (eV per atom) = -1.050
- size of the total moment (μB per atom) = 0.04
- raw total energy (eV/cell) = -124.368

Lattice parameters (Å, degrees): 6.4799 6.4795 6.7747 118.57 90.01 119.99
Closest atoms and distances in Å follow each position.
Fractional positions:
N1 0.2235 0.9790 0.7024  1 Tc 2.09, 2 Zr 2.25
N2 0.2234 0.4468 0.7023  1 Tc 2.09, 2 Zr 2.25
N3 0.7392 0.4783 0.7174  3 Zr 2.24, 3 Ca 2.46
N4 0.7765 0.0210 0.2976  1 Tc 2.09, 2 Zr 2.25
N5 0.2446 0.0211 0.2976  1 Tc 2.09, 2 Zr 2.25
N6 0.7766 0.5532 0.2977  1 Tc 2.09, 2 Zr 2.25
N7 0.2608 0.5217 0.2826  3 Zr 2.24, 3 Ca 2.46
N8 0.7554 0.9789 0.7024  1 Tc 2.09, 2 Zr 2.25
Zr1 0.5000 0.0000 0.5000  6 N 2.24-2.25
Zr2 0.0000 0.5000 0.5000  6 N 2.24-2.25
Zr3 0.5000 0.5000 0.5000  6 N 2.24-2.25
Ca1 0.0000 0.5000 0.0000  6 N 2.46-2.47
Ca2 0.0000 0.0000 0.0000  6 N 2.46-2.47
Ca3 0.5000 0.5000 0.0000  6 N 2.46-2.47
Tc1 0.0000 0.0000 0.5000  6 N 2.09



Record 6
A plane-wave DFT calculation with PBE was carried out for an optimized crystal structure of CaTe2N.

Summary:
- energy relative to the elements, uncorrected (eV per atom) = 0.115
- size of the total moment (μB per atom) = 0.00
- raw total energy (eV/cell) = -32.299

Lattice parameters (Å, degrees): 7.2483 7.2483 6.4833 56.01 56.01 90.00
Closest atoms and distances in Å follow each position.
Fractional positions:
N1 0.2500 0.7500 0.5000  4 Te 2.29
N2 0.5000 0.5000 0.0000  4 Te 2.29
Te1 0.5102 0.1250 0.2500  2 N 2.29
Te2 0.2398 0.6250 0.2500  2 N 2.29
Te3 0.8750 0.7602 0.7500  2 N 2.29
Te4 0.3750 0.4898 0.7500  2 N 2.29
Ca1 0.0000 0.0000 0.0000  8 Te 3.36-3.62
Ca2 0.7500 0.2500 0.5000  8 Te 3.36-3.62



Record 7
A plane-wave DFT calculation with PBE was carried out for an optimized crystal structure of CaTe2N2.

Summary:
- energy relative to the elements, uncorrected (eV per atom) = 1.164
- energy above the lowest structure with this stoichiometry (eV/f.u.) = 2.346
- size of the total moment (μB per atom) = 0.92
- raw total energy (eV/cell) = -19.114

Lattice parameters (Å, degrees): 4.5924 4.5924 6.6198 90.00 90.00 90.00
Closest atoms and distances in Å follow each position.
Fractional positions:
Te1 0.5000 0.5000 0.5000  4 Te 3.25
Te2 0.0000 0.0000 0.5000  4 Te 3.25, 2 Ca 3.31
Ca1 0.0000 0.0000 0.0000  4 N 2.30
N1 0.5000 0.0000 0.0000  2 Ca 2.30
N2 0.0000 0.5000 0.0000  2 Ca 2.30



Record 8
A plane-wave DFT calculation with PBE was carried out for an optimized crystal structure of Ca12Te3N5.

Summary:
- energy relative to the elements, uncorrected (eV per atom) = -0.893
- size of the total moment (μB per atom) = 0.00
- raw total energy (eV/cell) = -371.725

Lattice parameters (Å, degrees): 13.8864 13.8864 13.8864 109.47 109.47 109.47
Closest atoms and distances in Å follow each position.
Fractional positions:
N1 0.8750 0.6250 0.7500  4 Ca 2.26
N2 0.0000 0.0000 0.0000  6 Ca 2.55
N3 0.6250 0.8750 0.2500  4 Ca 2.26
N4 0.1250 0.7500 0.3750  4 Ca 2.26
N5 0.5000 0.5000 0.0000  6 Ca 2.55
N6 0.2500 0.8750 0.1250  4 Ca 2.26
N7 0.7500 0.6250 0.3750  4 Ca 2.26
N8 0.6250 0.7500 0.8750  4 Ca 2.26
N9 0.0000 0.0000 0.5000  6 Ca 2.55
N10 0.3750 0.2500 0.1250  4 Ca 2.26
N11 0.1250 0.3750 0.2500  4 Ca 2.26
N12 0.2500 0.3750 0.6250  4 Ca 2.26
N13 0.3750 0.1250 0.7500  4 Ca 2.26
N14 0.5000 0.5000 0.5000  6 Ca 2.55
N15 0.0000 0.5000 0.5000  6 Ca 2.55
N16 0.8750 0.2500 0.6250  4 Ca 2.26
N17 0.0000 0.5000 0.0000  6 Ca 2.55
N18 0.7500 0.1250 0.8750  4 Ca 2.26
N19 0.5000 0.0000 0.0000  6 Ca 2.55
N20 0.5000 0.0000 0.5000  6 Ca 2.55
Ca1 0.5822 0.8904 0.3963  1 N 2.26
Ca2 0.3963 0.0059 0.3141  1 N 2.26
Ca3 0.6918 0.1096 0.0059  1 N 2.26
Ca4 0.4941 0.6859 0.1037  1 N 2.26
Ca5 0.8082 0.3141 0.9178  1 N 2.26
Ca6 0.4941 0.8082 0.8904  1 N 2.26
Ca7 0.6037 0.9941 0.6859  1 N 2.26
Ca8 0.3082 0.8904 0.9941  1 N 2.26
Ca9 0.8141 0.9178 0.3082  1 N 2.26
Ca10 0.9178 0.8141 0.8082  1 N 2.26
Ca11 0.3082 0.4178 0.8141  1 N 2.26
Ca12 0.0822 0.8963 0.3904  1 N 2.26
Ca13 0.1918 0.6859 0.0822  1 N 2.26
Ca14 0.1859 0.0822 0.6918  1 N 2.26
Ca15 0.0059 0.6096 0.6918  1 N 2.26
Ca16 0.5059 0.1918 0.1096  1 N 2.26
Ca17 0.6859 0.4941 0.6037  1 N 2.26
Ca18 0.1037 0.9178 0.1096  1 N 2.26
Ca19 0.0822 0.1859 0.1918  1 N 2.26
Ca20 0.6037 0.6096 0.4178  1 N 2.26
Ca21 0.5059 0.3141 0.8963  1 N 2.26
Ca22 0.3904 0.3963 0.0822  1 N 2.26
Ca23 0.8904 0.3082 0.4941  1 N 2.26
Ca24 0.4178 0.1096 0.6037  1 N 2.26
Ca25 0.1918 0.5059 0.6096  1 N 2.26
Ca26 0.8963 0.8141 0.5059  1 N 2.26
Ca27 0.1037 0.1859 0.4941  1 N 2.26
Ca28 0.3141 0.5059 0.3963  1 N 2.26
Ca29 0.3963 0.3904 0.5822  1 N 2.26
Ca30 0.6859 0.1918 0.5822  1 N 2.26
Ca31 0.5822 0.6918 0.6859  1 N 2.26
Ca32 0.8141 0.8963 0.0059  1 N 2.26
Ca33 0.8904 0.5822 0.8963  1 N 2.26
Ca34 0.4178 0.3082 0.3141  1 N 2.26
Ca35 0.1096 0.6918 0.5059  1 N 2.26
Ca36 0.9178 0.1037 0.6096  1 N 2.26
Ca37 0.9941 0.3904 0.3082  1 N 2.26
Ca38 0.1096 0.4178 0.1037  1 N 2.26
Ca39 0.8963 0.0822 0.8904  1 N 2.26
Ca40 0.3904 0.9941 0.8082  1 N 2.26
Ca41 0.1859 0.1037 0.9941  1 N 2.26
Ca42 0.9941 0.6037 0.1859  1 N 2.26
Ca43 0.0059 0.3963 0.8141  1 N 2.26
Ca44 0.6096 0.6037 0.9178  1 N 2.26
Ca45 0.6918 0.5822 0.1859  1 N 2.26
Ca46 0.3141 0.8082 0.4178  1 N 2.26
Ca47 0.8082 0.4941 0.3904  1 N 2.26
Ca48 0.6096 0.0059 0.1918  1 N 2.26
Te1 0.8750 0.1250 0.2500  8 Ca 3.17-3.38
Te2 0.1250 0.2500 0.8750  8 Ca 3.17-3.38
Te3 0.6250 0.3750 0.7500  8 Ca 3.17-3.38
Te4 0.2500 0.6250 0.8750  8 Ca 3.17-3.38
Te5 0.2500 0.1250 0.3750  8 Ca 3.17-3.38
Te6 0.7500 0.8750 0.6250  8 Ca 3.17-3.38
Te7 0.7500 0.3750 0.1250  8 Ca 3.17-3.38
Te8 0.8750 0.7500 0.1250  8 Ca 3.17-3.38
Te9 0.1250 0.8750 0.7500  8 Ca 3.17-3.38
Te10 0.3750 0.6250 0.2500  8 Ca 3.17-3.38
Te11 0.6250 0.2500 0.3750  8 Ca 3.17-3.38
Te12 0.3750 0.7500 0.6250  8 Ca 3.17-3.38



Record 9
A plane-wave DFT calculation with PBE was carried out for an optimized crystal structure of Ca4Te2N.

Summary:
- energy relative to the elements, uncorrected (eV per atom) = -1.112
- energy above the lowest structure with this stoichiometry (eV/f.u.) = 0.716
- size of the total moment (μB per atom) = 0.14
- raw total energy (eV/cell) = -30.400

Lattice parameters (Å, degrees): 3.9948 8.1108 8.0784 131.03 104.31 90.00
Closest atoms and distances in Å follow each position.
Fractional positions:
Te1 0.6647 0.6463 0.3294  7 Ca 3.16-3.43
Te2 0.3353 0.3537 0.6706  7 Ca 3.16-3.43
N1 0.0000 0.0000 0.0000  6 Ca 2.41-2.55
Ca1 0.9451 0.2144 0.8903  1 N 2.41
Ca2 0.0549 0.7856 0.1097  1 N 2.41
Ca3 0.6349 0.2195 0.2699  2 N 2.55
Ca4 0.3651 0.7805 0.7301  2 N 2.55



- Among the records above, which one has the highest raw total energy?
  CaTe2N2



- The highest size of the total moment belongs to which entry?
  CaTe2N2